1.
Entry from Alexandria: NbSe2Br2 at its PBEsol-relaxed geometry (meta-GGA SCAN).

Results
- Raw formation energy: -0.85 eV per atom
- ΔE to the lowest computed polymorph: 0 meV/atom
- Calculated total energy: -23.290 eV/atom
- Space group: No. 2
- Calculated volume: 260.10 Å³/cell

Unit cell a=6.5960 b=6.6867 c=7.5175 alpha=67.62 beta=68.34 gamma=60.56
With the nearest neighbours (Å) after each atom.
Fractional coordinates of all 10 atoms:
Nb 0.1256 0.2474 0.0003  4 Se 2.61-2.63, 4 Br 2.73-2.76
Nb 0.8744 0.7526 0.9997  4 Se 2.61-2.63, 4 Br 2.73-2.76
Se 0.0758 0.5947 0.6780  1 Se 2.30
Se 0.2638 0.4619 0.1293  1 Se 2.30
Se 0.7362 0.5381 0.8707  1 Se 2.30
Se 0.9242 0.4053 0.3220  1 Se 2.30
Br 0.1662 0.9820 0.7754  2 Nb 2.73-2.75
Br 0.4195 0.8500 0.2251  2 Nb 2.73-2.76
Br 0.5805 0.1500 0.7749  2 Nb 2.73-2.76
Br 0.8338 0.0180 0.2246  2 Nb 2.73-2.75

=====

2.
Entry from Alexandria: NbSnSe2Br at its PBEsol-relaxed geometry (meta-GGA SCAN).

Results
- Density of states at the Fermi level: 2.76 states/eV per cell
- Raw formation energy: 0.60 eV per atom
- Calculated total energy: -25.138 eV/atom
- Space group: No. 123
- Calculated volume: 140.56 Å³/cell

Unit cell a=5.2021 b=5.2021 c=5.1940 alpha=90.00 beta=90.00 gamma=90.00
With the nearest neighbours (Å) after each atom.
Fractional coordinates of all 5 atoms:
Nb 0.0000 0.0000 0.0000  8 Se 3.68, 4 Br 3.68
Sn 0.5000 0.5000 0.5000  2 Br 2.60, 4 Se 2.60
Se 0.0000 0.5000 0.5000  2 Sn 2.60
Se 0.5000 0.0000 0.5000  2 Sn 2.60
Br 0.5000 0.5000 0.0000  2 Sn 2.60

=====

3.
Entry from Alexandria: ZrNbSe2Br at its PBEsol-relaxed geometry (meta-GGA SCAN).

Results
- Density of states at the Fermi level: 3.54 states/eV per cell
- Raw formation energy: 0.00 eV per atom
- Calculated total energy: -24.687 eV/atom
- Space group: No. 123
- Calculated volume: 123.27 Å³/cell

Unit cell a=4.9736 b=4.9736 c=4.9833 alpha=90.00 beta=90.00 gamma=90.00
With the nearest neighbours (Å) after each atom.
Fractional coordinates of all 5 atoms:
Zr 0.0000 0.0000 0.0000  4 Br 3.52, 8 Se 3.52
Nb 0.5000 0.5000 0.5000  4 Se 2.49, 2 Br 2.49
Se 0.0000 0.5000 0.5000  2 Nb 2.49
Se 0.5000 0.0000 0.5000  2 Nb 2.49
Br 0.5000 0.5000 0.0000  2 Nb 2.49

=====

4.
Entry from Alexandria: NbSi2Br at its PBEsol-relaxed geometry (meta-GGA SCAN).

Results
- Density of states at the Fermi level: 11.84 states/eV per cell
- Raw formation energy: 0.99 eV per atom
- Calculated total energy: -17.169 eV/atom
- Space group: No. 225
- Calculated volume: 271.38 Å³/cell

Unit cell a=6.4743 b=6.4743 c=6.4743 alpha=90.00 beta=90.00 gamma=90.00
With the nearest neighbours (Å) after each atom.
Fractional coordinates of all 16 atoms:
Nb 0.0000 0.0000 0.0000  8 Si 2.80
Nb 0.0000 0.5000 0.5000  8 Si 2.80
Nb 0.5000 0.0000 0.5000  8 Si 2.80
Nb 0.5000 0.5000 0.0000  8 Si 2.80
Si 0.2500 0.2500 0.2500  4 Nb 2.80, 4 Br 2.80
Si 0.2500 0.2500 0.7500  4 Nb 2.80, 4 Br 2.80
Si 0.2500 0.7500 0.2500  4 Nb 2.80, 4 Br 2.80
Si 0.2500 0.7500 0.7500  4 Nb 2.80, 4 Br 2.80
Si 0.7500 0.2500 0.2500  4 Nb 2.80, 4 Br 2.80
Si 0.7500 0.2500 0.7500  4 Nb 2.80, 4 Br 2.80
Si 0.7500 0.7500 0.2500  4 Nb 2.80, 4 Br 2.80
Si 0.7500 0.7500 0.7500  4 Nb 2.80, 4 Br 2.80
Br 0.0000 0.0000 0.5000  8 Si 2.80
Br 0.0000 0.5000 0.0000  8 Si 2.80
Br 0.5000 0.0000 0.0000  8 Si 2.80
Br 0.5000 0.5000 0.5000  8 Si 2.80

=====

Number 1: size of the total moment 0.00 Bohr magnetons per cell. Number 2: size of the total moment 3.08 Bohr magnetons per cell. Number 3: size of the total moment 2.98 Bohr magnetons per cell. Number 4: size of the total moment 0.00 Bohr magnetons per cell.